A relaxed structure of PmGdAgBi, computed with GGA-PBE.

Results
Theoretical density: 9.23 g/cm3
Energy of formation from the pure elements: -1.93 eV/f.u.

Structure (CIF):
```
data_PmGdAgBi
_chemical_formula_sum 'Pm4 Gd4 Ag4 Bi4'
_space_group_name_H-M_alt 'F -4 3 m'
_space_group_IT_number 216
_space_group_name_Hall 'F -4 2 3'
_cell_length_a 7.6366
_cell_length_b 7.6366
_cell_length_c 7.6366
_cell_angle_alpha 90.00
_cell_angle_beta 90.00
_cell_angle_gamma 90.00
loop_
_atom_site_label
_atom_site_type_symbol
_atom_site_fract_x
_atom_site_fract_y
_atom_site_fract_z
Pm1 Pm 0.0000 0.0000 0.0000
Gd1 Gd 0.0000 0.0000 0.5000
Ag1 Ag 0.2500 0.2500 0.2500
Bi1 Bi 0.2500 0.2500 0.7500
```